1.
DFT (GGA-PBE) results for crystalline NaPuSn2 at its relaxed geometry.

Results
Raw total energy, eV/atom: -6.18
Fermi-level density of states, states/eV per cell: 7.2
Formation energy, eV per atom: -0.262

a b c (Å): 3.2266 3.2266 10.0252
angles (deg): 90.00 90.00 90.00
Closest atoms and distances in Å follow each position.
Sites, in units of the cell vectors:
Sn 0.0000 0.0000 0.2523  4 Sn 3.23, 4 Pu 3.37, 4 Na 3.41
Sn 0.0000 0.0000 0.7477  4 Sn 3.23, 4 Pu 3.37, 4 Na 3.41
Pu 0.5000 0.5000 0.5000  4 Pu 3.23, 8 Sn 3.37
Na 0.5000 0.5000 0.0000  4 Na 3.23, 8 Sn 3.41

2.
DFT (GGA-PBE) results for crystalline Na2PuSn9 at its relaxed geometry.

Results
Raw total energy, eV/atom: -4.59
Fermi-level density of states, states/eV per cell: 15.5
Formation energy, eV per atom: -0.173

a b c (Å): 4.6937 4.6937 14.3001
angles (deg): 90.00 90.00 90.00
Closest atoms and distances in Å follow each position.
Sites, in units of the cell vectors:
Sn 0.0000 0.5000 0.8346  2 Na 3.32, 8 Sn 3.32-3.36, 2 Pu 3.33
Sn 0.5000 0.5000 0.0000  4 Pu 3.32, 8 Sn 3.33
Sn 0.5000 0.5000 0.6666  4 Na 3.32, 8 Sn 3.34-3.36
Sn 0.5000 0.0000 0.8346  2 Na 3.32, 8 Sn 3.32-3.36, 2 Pu 3.33
Sn 0.5000 0.0000 0.1654  2 Na 3.32, 8 Sn 3.32-3.36, 2 Pu 3.33
Sn 0.5000 0.5000 0.3334  4 Na 3.32, 8 Sn 3.34-3.36
Sn 0.0000 0.5000 0.1654  2 Na 3.32, 8 Sn 3.32-3.36, 2 Pu 3.33
Sn 0.0000 0.5000 0.5000  8 Sn 3.32-3.34, 4 Na 3.39
Sn 0.5000 0.0000 0.5000  8 Sn 3.32-3.34, 4 Na 3.39
Na 0.0000 0.0000 0.3294  12 Sn 3.32-3.39
Na 0.0000 0.0000 0.6706  12 Sn 3.32-3.39
Pu 0.0000 0.0000 0.0000  12 Sn 3.32-3.33

3.
DFT (GGA-PBE) results for crystalline Na2PuSn3Te6 at its relaxed geometry.

Results
Raw total energy, eV/atom: -4.57
Fermi-level density of states, states/eV per cell: 14.5

a b c (Å): 7.7546 7.7546 7.9492
angles (deg): 99.29 99.29 119.78
Closest atoms and distances in Å follow each position.
Sites, in units of the cell vectors:
Te 0.0840 0.4007 0.2468  1 Pu 3.09, 3 Sn 3.16-3.34, 2 Na 3.23-3.24
Te 0.7660 0.7660 0.2575  3 Sn 3.10-3.25, 1 Pu 3.15, 2 Na 3.29
Te 0.4007 0.0840 0.2468  1 Pu 3.09, 3 Sn 3.16-3.34, 2 Na 3.23-3.24
Te 0.9160 0.5993 0.7532  1 Pu 3.09, 3 Sn 3.16-3.34, 2 Na 3.23-3.24
Te 0.5993 0.9160 0.7532  1 Pu 3.09, 3 Sn 3.16-3.34, 2 Na 3.23-3.24
Te 0.2340 0.2340 0.7425  3 Sn 3.10-3.25, 1 Pu 3.15, 2 Na 3.29
Pu 0.0000 0.0000 0.0000  6 Te 3.09-3.15
Sn 0.1636 0.8364 0.5000  6 Te 3.10-3.34
Sn 0.5000 0.5000 0.5000  6 Te 3.16-3.25
Sn 0.8364 0.1636 0.5000  6 Te 3.10-3.34
Na 0.6676 0.3324 0.0000  6 Te 3.23-3.29
Na 0.3324 0.6676 0.0000  6 Te 3.23-3.29

4.
DFT (GGA-PBE) results for crystalline NaPu2SnTe4 at its relaxed geometry.

Results
Raw total energy, eV/atom: -6.66
Fermi-level density of states, states/eV per cell: 26.0

a b c (Å): 4.4966 7.9092 7.7981
angles (deg): 71.00 90.00 90.00
Closest atoms and distances in Å follow each position.
Sites, in units of the cell vectors:
Sn 0.5000 0.5000 0.0000  6 Te 3.23-3.24
Te 0.5000 0.7608 0.2446  3 Pu 3.15-3.16, 1 Sn 3.23, 2 Na 3.26
Te 0.0000 0.2418 0.2516  3 Pu 3.15-3.17, 2 Sn 3.24, 1 Na 3.24
Te 0.5000 0.2392 0.7554  3 Pu 3.15-3.16, 1 Sn 3.23, 2 Na 3.26
Te 0.0000 0.7582 0.7484  3 Pu 3.15-3.17, 2 Sn 3.24, 1 Na 3.24
Pu 0.0000 0.0000 0.0000  6 Te 3.15
Pu 0.5000 0.0000 0.5000  6 Te 3.16-3.17
Na 0.0000 0.5000 0.5000  6 Te 3.24-3.26

5.
DFT (GGA-PBE) results for crystalline NaSr2Pu at its relaxed geometry.

Results
Raw total energy, eV/atom: -4.31
Fermi-level density of states, states/eV per cell: 13.1
Formation energy, eV per atom: 0.441

a b c (Å): 3.7804 3.7804 13.9865
angles (deg): 82.23 82.23 60.00
Closest atoms and distances in Å follow each position.
Sites, in units of the cell vectors:
Sr 0.9144 0.9144 0.2569  1 Pu 3.55, 6 Sr 3.78
Sr 0.0856 0.0856 0.7431  1 Pu 3.55, 6 Sr 3.78
Pu 0.0000 0.0000 0.0000  2 Sr 3.55, 6 Pu 3.78
Na 0.5000 0.5000 0.5000  6 Na 3.78, 6 Sr 4.01

6.
DFT (GGA-PBE) results for crystalline Na3Tb2PuTe6 at its relaxed geometry.

Results
Raw total energy, eV/atom: -5.08
Fermi-level density of states, states/eV per cell: 14.4

a b c (Å): 7.7422 7.7422 7.9592
angles (deg): 99.33 99.33 120.00
Closest atoms and distances in Å follow each position.
Sites, in units of the cell vectors:
Te 0.5856 0.9221 0.7664  2 Tb 3.11, 1 Pu 3.14, 3 Na 3.26-3.28
Te 0.4144 0.0779 0.2336  2 Tb 3.11, 1 Pu 3.14, 3 Na 3.26-3.28
Te 0.7413 0.7413 0.2336  2 Tb 3.11, 1 Pu 3.14, 3 Na 3.25-3.27
Te 0.2587 0.2587 0.7664  2 Tb 3.11, 1 Pu 3.14, 3 Na 3.25-3.27
Te 0.0779 0.4144 0.2336  2 Tb 3.11, 1 Pu 3.14, 3 Na 3.26-3.28
Te 0.9221 0.5856 0.7664  2 Tb 3.11, 1 Pu 3.14, 3 Na 3.26-3.28
Pu 0.0000 0.0000 0.0000  6 Te 3.14
Na 0.5000 0.5000 0.5000  6 Te 3.25-3.28
Na 0.8341 0.1659 0.5000  6 Te 3.26-3.28
Na 0.1659 0.8341 0.5000  6 Te 3.26-3.28
Tb 0.3334 0.6666 0.0000  6 Te 3.11
Tb 0.6666 0.3334 0.0000  6 Te 3.11

7.
DFT (GGA-PBE) results for crystalline Na4TbPu3Te8 at its relaxed geometry.

Results
Raw total energy, eV/atom: -5.98
Fermi-level density of states, states/eV per cell: 40.7

a b c (Å): 8.9745 9.1087 8.9745
angles (deg): 119.51 120.00 90.00
Closest atoms and distances in Å follow each position.
Sites, in units of the cell vectors:
Pu 0.5000 0.5000 0.0000  6 Te 3.12-3.14
Pu 0.0000 0.5000 0.5000  6 Te 3.12-3.14
Pu 0.5000 0.5000 0.5000  6 Te 3.12-3.14
Na 0.0000 0.0000 0.5000  6 Te 3.26-3.27
Na 0.5000 0.0000 0.0000  6 Te 3.28
Na 0.5000 0.0000 0.5000  6 Te 3.26-3.27
Na 0.0000 0.0000 0.0000  6 Te 3.26-3.28
Te 0.2558 0.2674 0.5117  3 Pu 3.12, 3 Na 3.27-3.28
Te 0.7442 0.7326 0.4883  3 Pu 3.12, 3 Na 3.27-3.28
Te 0.2435 0.7339 0.4870  1 Tb 3.11, 2 Pu 3.13, 3 Na 3.26-3.28
Te 0.7565 0.2660 0.0095  1 Tb 3.11, 2 Pu 3.14, 3 Na 3.26-3.28
Te 0.7565 0.2661 0.5130  1 Tb 3.11, 2 Pu 3.13, 3 Na 3.26-3.28
Te 0.7470 0.7340 0.9905  1 Tb 3.11, 2 Pu 3.14, 3 Na 3.26-3.28
Te 0.2530 0.2660 0.0095  1 Tb 3.11, 2 Pu 3.14, 3 Na 3.26-3.28
Te 0.2435 0.7340 0.9905  1 Tb 3.11, 2 Pu 3.14, 3 Na 3.26-3.28
Tb 0.0000 0.5000 0.0000  6 Te 3.11

8.
DFT (GGA-PBE) results for crystalline NaTbPu2Te4 at its relaxed geometry.

Results
Raw total energy, eV/atom: -7.03
Fermi-level density of states, states/eV per cell: 31.2

a b c (Å): 4.4395 7.7972 7.6703
angles (deg): 109.46 90.00 90.00
Closest atoms and distances in Å follow each position.
Sites, in units of the cell vectors:
Tb 0.0000 0.0000 0.0000  6 Te 3.11-3.13
Pu 0.0000 0.5000 0.5000  6 Te 3.17-3.20
Pu 0.5000 0.0000 0.5000  6 Te 3.14-3.16
Te 0.0000 0.7550 0.2484  1 Tb 3.11, 3 Pu 3.14-3.20, 2 Na 3.16
Te 0.5000 0.7529 0.7539  2 Tb 3.13, 1 Na 3.15, 3 Pu 3.16-3.17
Te 0.5000 0.2471 0.2461  2 Tb 3.13, 1 Na 3.15, 3 Pu 3.16-3.17
Te 0.0000 0.2450 0.7516  1 Tb 3.11, 3 Pu 3.14-3.20, 2 Na 3.16
Na 0.5000 0.5000 0.0000  6 Te 3.15-3.16

9.
DFT (GGA-PBE) results for crystalline NaTb3Pu2Te6 at its relaxed geometry.

Results
Raw total energy, eV/atom: -6.47
Fermi-level density of states, states/eV per cell: 26.0

a b c (Å): 4.3924 8.8966 9.9167
angles (deg): 103.53 102.80 90.00
Closest atoms and distances in Å follow each position.
Sites, in units of the cell vectors:
Tb 0.8332 0.1700 0.6664  6 Te 3.10-3.11
Tb 0.1668 0.8300 0.3336  6 Te 3.10-3.11
Tb 0.5000 0.5000 0.0000  6 Te 3.10-3.11
Na 0.5000 0.0000 0.0000  6 Te 3.14-3.15
Te 0.0016 0.7471 0.0032  3 Tb 3.10, 2 Na 3.15, 1 Pu 3.16
Te 0.9984 0.2529 0.9968  3 Tb 3.10, 2 Na 3.15, 1 Pu 3.16
Te 0.3343 0.4167 0.6686  3 Tb 3.10-3.11, 3 Pu 3.13-3.14
Te 0.3326 0.9217 0.6651  3 Tb 3.11, 1 Na 3.14, 2 Pu 3.16
Te 0.6657 0.5833 0.3314  3 Tb 3.10-3.11, 3 Pu 3.13-3.14
Te 0.6674 0.0783 0.3349  3 Tb 3.11, 1 Na 3.14, 2 Pu 3.16
Pu 0.8332 0.6671 0.6663  6 Te 3.13-3.16
Pu 0.1668 0.3329 0.3337  6 Te 3.13-3.16

10.
DFT (GGA-PBE) results for crystalline NaPu2Tc at its relaxed geometry.

Results
Raw total energy, eV/atom: -9.77
Fermi-level density of states, states/eV per cell: 13.7
Formation energy, eV per atom: 0.319
Distance to the lowest polymorph of the same formula, meV/atom: 172

a b c (Å): 3.2391 3.2391 11.3780
angles (deg): 81.82 81.82 60.00
Closest atoms and distances in Å follow each position.
Sites, in units of the cell vectors:
Na 0.0000 0.0000 0.0000  6 Na 3.24, 2 Pu 3.48
Tc 0.5000 0.5000 0.5000  6 Pu 2.84
Pu 0.1032 0.1032 0.6904  3 Tc 2.84
Pu 0.8968 0.8968 0.3096  3 Tc 2.84

11.
DFT (GGA-PBE) results for crystalline NaPu2Tc at its relaxed geometry.

Results
Raw total energy, eV/atom: -9.94
Fermi-level density of states, states/eV per cell: 12.9
Formation energy, eV per atom: 0.147
Distance to the lowest polymorph of the same formula, meV/atom: 0

a b c (Å): 3.2195 3.2195 9.7178
angles (deg): 90.00 90.00 90.00
Closest atoms and distances in Å follow each position.
Sites, in units of the cell vectors:
Na 0.5000 0.5000 0.5000  4 Na 3.22
Pu 0.0000 0.0000 0.1849  4 Tc 2.90, 4 Pu 3.22
Pu 0.0000 0.0000 0.8151  4 Tc 2.90, 4 Pu 3.22
Tc 0.5000 0.5000 0.0000  8 Pu 2.90, 4 Tc 3.22

12.
DFT (GGA-PBE) results for crystalline NaPuTe at its relaxed geometry.

Results
Raw total energy, eV/atom: -6.59
Fermi-level density of states, states/eV per cell: 6.3

a b c (Å): 3.8631 3.8631 12.9734
angles (deg): 81.44 81.44 60.00
Closest atoms and distances in Å follow each position.
Sites, in units of the cell vectors:
Pu 0.6544 0.6544 0.0367  3 Pu 2.42
Pu 0.3456 0.3456 0.9633  3 Pu 2.42
Te 0.7343 0.7343 0.7970  4 Pu 3.06-3.08, 3 Na 3.18
Te 0.2657 0.2657 0.2030  4 Pu 3.06-3.08, 3 Na 3.18
Na 0.1267 0.1267 0.6199  3 Te 3.18
Na 0.8733 0.8733 0.3801  3 Te 3.18

13.
DFT (GGA-PBE) results for crystalline NaPuTe2 at its relaxed geometry.

Results
Raw total energy, eV/atom: -6.39
Fermi-level density of states, states/eV per cell: 9.0

a b c (Å): 3.8439 3.8439 7.9418
angles (deg): 90.00 90.00 90.00
Closest atoms and distances in Å follow each position.
Sites, in units of the cell vectors:
Pu 0.5000 0.5000 0.0000  8 Te 3.27
Te 0.0000 0.0000 0.2283  4 Pu 3.27, 4 Na 3.47, 1 Te 3.63
Te 0.0000 0.0000 0.7717  4 Pu 3.27, 4 Na 3.47, 1 Te 3.63
Na 0.5000 0.5000 0.5000  8 Te 3.47, 4 Na 3.84

14.
DFT (GGA-PBE) results for crystalline Na2PuTe3 at its relaxed geometry.

Results
Raw total energy, eV/atom: -5.28
Fermi-level density of states, states/eV per cell: 11.1

a b c (Å): 4.4966 6.2230 7.8959
angles (deg): 113.21 106.54 90.00
Closest atoms and distances in Å follow each position.
Sites, in units of the cell vectors:
Na 0.3286 0.8286 0.6572  6 Te 3.12-3.32
Na 0.6714 0.1714 0.3428  6 Te 3.12-3.32
Te 0.6515 0.6515 0.3030  2 Pu 3.07, 4 Na 3.12-3.32
Te 0.0000 0.0000 0.0000  2 Pu 3.11, 4 Na 3.26
Te 0.3485 0.3485 0.6970  2 Pu 3.07, 4 Na 3.12-3.32
Pu 0.0000 0.5000 0.0000  6 Te 3.07-3.11

15.
DFT (GGA-PBE) results for crystalline NaPuTe2 at its relaxed geometry.

Results
Raw total energy, eV/atom: -6.50
Fermi-level density of states, states/eV per cell: 12.3

a b c (Å): 4.4599 4.4599 8.1489
angles (deg): 74.12 74.12 60.00
Closest atoms and distances in Å follow each position.
Sites, in units of the cell vectors:
Te 0.2580 0.2580 0.2260  3 Pu 3.12, 3 Na 3.37
Te 0.0767 0.0767 0.7699  3 Pu 3.12, 3 Na 3.28
Na 0.4977 0.4977 0.5070  6 Te 3.28-3.37
Pu 0.6676 0.6676 0.9971  6 Te 3.12

16.
DFT (GGA-PBE) results for crystalline Na2Pu3Te6 at its relaxed geometry.

Results
Raw total energy, eV/atom: -6.83
Fermi-level density of states, states/eV per cell: 37.2

a b c (Å): 7.7278 7.7267 7.9002
angles (deg): 80.64 71.02 60.00
Closest atoms and distances in Å follow each position.
Sites, in units of the cell vectors:
Te 0.4097 0.6677 0.7703  3 Pu 3.09-3.10, 2 Na 3.27
Te 0.9226 0.6677 0.2297  3 Pu 3.09-3.10, 2 Na 3.27
Te 0.7422 0.0000 0.7700  3 Pu 3.09-3.10, 2 Na 3.28
Te 0.5903 0.3323 0.2297  3 Pu 3.09-3.10, 2 Na 3.27
Te 0.2578 0.0000 0.2300  3 Pu 3.09-3.10, 2 Na 3.28
Te 0.0774 0.3323 0.7703  3 Pu 3.09-3.10, 2 Na 3.27
Pu 0.0000 0.0000 0.0000  6 Te 3.09-3.10
Pu 0.3334 0.3332 0.0000  6 Te 3.09-3.10
Pu 0.6666 0.6668 0.0000  6 Te 3.09-3.10
Na 0.8330 0.3339 0.5000  6 Te 3.27-3.28
Na 0.1670 0.6661 0.5000  6 Te 3.27-3.28

17.
DFT (GGA-PBE) results for crystalline Na4Pu3Te8 at its relaxed geometry.

Results
Raw total energy, eV/atom: -5.69
Fermi-level density of states, states/eV per cell: 33.1

a b c (Å): 8.8633 8.9397 8.9397
angles (deg): 89.67 120.65 120.65
Closest atoms and distances in Å follow each position.
Sites, in units of the cell vectors:
Te 0.0259 0.2673 0.2673  1 Pu 2.92, 4 Na 3.16-3.24
Te 0.0000 0.2555 0.7445  2 Pu 3.08, 3 Na 3.17-3.22
Te 0.5000 0.2552 0.7448  3 Na 3.08-3.22, 3 Pu 3.09-3.17
Te 0.4777 0.7311 0.7311  3 Pu 3.08-3.16, 2 Na 3.22-3.27
Te 0.0000 0.7445 0.2555  2 Pu 3.08, 3 Na 3.17-3.22
Te 0.5000 0.7448 0.2552  3 Na 3.08-3.22, 3 Pu 3.09-3.17
Te 0.5223 0.2689 0.2689  3 Pu 3.08-3.16, 2 Na 3.22-3.27
Te 0.9741 0.7327 0.7327  1 Pu 2.92, 4 Na 3.16-3.24
Na 0.0000 0.0000 0.0000  6 Te 3.22-3.23
Na 0.0000 0.0000 0.5000  6 Te 3.08-3.17
Na 0.5000 0.0000 0.0000  6 Te 3.22-3.27
Na 0.0000 0.5000 0.0000  6 Te 3.08-3.17
Pu 0.5000 0.5000 0.5000  6 Te 2.92-3.09
Pu 0.5000 0.5000 0.0000  6 Te 3.08-3.17
Pu 0.5000 0.0000 0.5000  6 Te 3.08-3.17

18.
DFT (GGA-PBE) results for crystalline Na3PuTe3 at its relaxed geometry.

Results
Raw total energy, eV/atom: -4.86
Fermi-level density of states, states/eV per cell: 15.9

a b c (Å): 6.3099 6.3099 6.3099
angles (deg): 90.09 90.09 90.09
Closest atoms and distances in Å follow each position.
Sites, in units of the cell vectors:
Na 0.5428 0.5428 0.0422  4 Te 3.15-3.16
Na 0.5428 0.0422 0.5428  4 Te 3.15-3.16
Na 0.0422 0.5428 0.5428  4 Te 3.15-3.16
Pu 0.0430 0.0430 0.0430  6 Te 3.15-3.16
Te 0.0428 0.5430 0.0428  4 Na 3.15-3.16, 2 Pu 3.15-3.16
Te 0.0428 0.0428 0.5430  4 Na 3.15-3.16, 2 Pu 3.15-3.16
Te 0.5430 0.0428 0.0428  4 Na 3.15-3.16, 2 Pu 3.15-3.16

19.
DFT (GGA-PBE) results for crystalline NaPu4Te5 at its relaxed geometry.

Results
Raw total energy, eV/atom: -8.47
Fermi-level density of states, states/eV per cell: 56.5

a b c (Å): 4.4366 6.2997 11.9398
angles (deg): 105.30 100.71 90.00
Closest atoms and distances in Å follow each position.
Sites, in units of the cell vectors:
Pu 0.4018 0.4018 0.8036  6 Te 3.14-3.18
Pu 0.2021 0.2021 0.4041  6 Te 3.13-3.15
Pu 0.7979 0.7979 0.5959  6 Te 3.13-3.15
Pu 0.5982 0.5982 0.1964  6 Te 3.14-3.18
Te 0.1987 0.6987 0.3975  6 Pu 3.15-3.18
Te 0.0000 0.5000 0.0000  4 Pu 3.14, 2 Na 3.15
Te 0.6041 0.1041 0.2083  4 Pu 3.13-3.15, 2 Na 3.23
Te 0.8013 0.3013 0.6025  6 Pu 3.15-3.18
Te 0.3959 0.8959 0.7917  4 Pu 3.13-3.15, 2 Na 3.23
Na 0.0000 0.0000 0.0000  6 Te 3.15-3.23

20.
DFT (GGA-PBE) results for crystalline NaPu2Te3 at its relaxed geometry.

Results
Raw total energy, eV/atom: -7.64
Fermi-level density of states, states/eV per cell: 22.2

a b c (Å): 4.4754 6.2917 7.8249
angles (deg): 113.71 106.62 90.00
Closest atoms and distances in Å follow each position.
Sites, in units of the cell vectors:
Na 0.5000 0.5000 0.5000  6 Te 3.15-3.27
Te 0.1754 0.6754 0.8509  4 Pu 3.13-3.15, 2 Na 3.27
Te 0.8246 0.3246 0.1491  4 Pu 3.13-3.15, 2 Na 3.27
Te 0.5000 0.0000 0.5000  2 Na 3.15, 4 Pu 3.16
Pu 0.1637 0.1637 0.8274  6 Te 3.13-3.16
Pu 0.8363 0.8363 0.1726  6 Te 3.13-3.16